A plane-wave DFT calculation with PBE was carried out for a relaxed Ba3PuIn2O8 crystal.

Cell and atoms, written as extended XYZ:
```
14
Lattice="-0.205 -5.203 3.355 5.366 1.900 -2.445 1.500 4.136 6.505" Properties=species:S:1:pos:R:3 pbc="T T T"
O 4.450 -0.296 5.531
O 4.926 3.440 5.635
O 2.210 1.128 1.885
Ba 4.467 2.174 3.645
In 2.855 0.484 6.643
O 4.949 2.098 0.637
O 1.711 -1.266 6.779
O 4.844 -0.558 2.350
O 1.816 1.390 5.066
Pu 0.750 2.068 3.252
Ba 2.193 -1.342 3.771
Ba 0.000 0.000 0.000
O 1.734 -2.608 1.781
In 3.805 0.348 0.773
```

Fermi-level density of states in states/eV per cell: 8.0
Crystal system: trigonal
Total magnetic moment in Bohr magnetons per cell: 4.0
E_form (uncorrected) in eV/f.u.: -31.6
DFT total energy in eV per formula unit: -96.86